TlMoPtO6 | GGA+U | relaxed

abc: 5.3447 5.3446 5.1685
angles: 90.00 90.00 60.00
Fractional positions:
O (0.6290, 0.9905, 0.2911)
O (0.9904, 0.3805, 0.2911)
Pt (0.3333, 0.3333, 0.5000)
Mo (0.6667, 0.6667, 0.5000)
Tl (0.0000, 0.0000, 0.0000)
O (0.3804, 0.6291, 0.2911)
O (0.6290, 0.3805, 0.7088)
O (0.3804, 0.9905, 0.7088)
O (0.9904, 0.6291, 0.7088)

Output
Space group: P312, No. 149
Raw total energy (eV/atom): -5.956